Entry 1:
# CsKTcSe3 (PBE-GGA, relaxed)
# ΔE to the lowest computed polymorph in meV/atom: 135
# V in Å³ per atom: 31.3
# Space-group type: P2_1/m (11)
data_CsKTcSe3
_cell_length_a 8.9200
_cell_length_b 3.9671
_cell_length_c 10.6109
_cell_angle_alpha 90.00
_cell_angle_beta 91.17
_cell_angle_gamma 90.00
_space_group_name_H-M_alt 'P 1'
_space_group_IT_number 1
loop_
_space_group_symop_operation_xyz
'x,y,z'
loop_
_atom_site_label
_atom_site_type_symbol
_atom_site_fract_x
_atom_site_fract_y
_atom_site_fract_z
_atom_site_occupancy
Cs1 Cs 0.0841 0.2500 0.1521 1
Cs2 Cs 0.9159 0.7500 0.8479 1
K1 K 0.2975 0.7500 0.5024 1
K2 K 0.7025 0.2500 0.4976 1
Tc1 Tc 0.4363 0.2500 0.8434 1
Tc2 Tc 0.5637 0.7500 0.1566 1
Se1 Se 0.1959 0.2500 0.7214 1
Se2 Se 0.3442 0.7500 0.9850 1
Se3 Se 0.4421 0.2500 0.2822 1
Se4 Se 0.5579 0.7500 0.7178 1
Se5 Se 0.6558 0.2500 0.0150 1
Se6 Se 0.8041 0.7500 0.2786 1


Entry 2:
# CsKThSe3 (PBE-GGA, relaxed)
# V in Å³ per atom: 45.2
# Raw total energy in eV/atom: -4.730
# Space-group type: Cmcm (63)
data_CsKThSe3
_cell_length_a 10.1782
_cell_length_b 10.1782
_cell_length_c 12.3589
_cell_angle_alpha 90.00
_cell_angle_beta 90.00
_cell_angle_gamma 154.94
_space_group_name_H-M_alt 'P 1'
_space_group_IT_number 1
loop_
_space_group_symop_operation_xyz
'x,y,z'
loop_
_atom_site_label
_atom_site_type_symbol
_atom_site_fract_x
_atom_site_fract_y
_atom_site_fract_z
_atom_site_occupancy
Cs1 Cs 0.1538 0.8462 0.7500 1
Cs2 Cs 0.8462 0.1538 0.2500 1
K1 K 0.1069 0.8931 0.2500 1
K2 K 0.8931 0.1069 0.7500 1
Th1 Th 0.5000 0.5000 0.0000 1
Th2 Th 0.5000 0.5000 0.5000 1
Se1 Se 0.0963 0.9037 0.0050 1
Se2 Se 0.0963 0.9037 0.4950 1
Se3 Se 0.4886 0.5114 0.2500 1
Se4 Se 0.5114 0.4886 0.7500 1
Se5 Se 0.9037 0.0963 0.5050 1
Se6 Se 0.9037 0.0963 0.9950 1


Entry 3:
# CsKUSe3 (PBE-GGA, relaxed)
# V in Å³ per atom: 41.2
# Raw total energy in eV/atom: -5.045
# Space-group type: Cmcm (63)
data_CsKUSe3
_cell_length_a 9.6694
_cell_length_b 9.6694
_cell_length_c 12.1270
_cell_angle_alpha 90.00
_cell_angle_beta 90.00
_cell_angle_gamma 154.12
_space_group_name_H-M_alt 'P 1'
_space_group_IT_number 1
loop_
_space_group_symop_operation_xyz
'x,y,z'
loop_
_atom_site_label
_atom_site_type_symbol
_atom_site_fract_x
_atom_site_fract_y
_atom_site_fract_z
_atom_site_occupancy
Cs1 Cs 0.1622 0.8378 0.7500 1
Cs2 Cs 0.8378 0.1622 0.2500 1
K1 K 0.1148 0.8852 0.2500 1
K2 K 0.8852 0.1148 0.7500 1
U1 U 0.5000 0.5000 0.0000 1
U2 U 0.5000 0.5000 0.5000 1
Se1 Se 0.0982 0.9018 0.0034 1
Se2 Se 0.0982 0.9018 0.4966 1
Se3 Se 0.4898 0.5102 0.2500 1
Se4 Se 0.5102 0.4898 0.7500 1
Se5 Se 0.9018 0.0982 0.5034 1
Se6 Se 0.9018 0.0982 0.9966 1


Entry 4:
# CsKZrSe3 (PBE-GGA, relaxed)
# ΔE to the lowest computed polymorph in meV/atom: 0
# V in Å³ per atom: 31.9
# Space-group type: P2_1/m (11)
data_CsKZrSe3
_cell_length_a 8.5894
_cell_length_b 4.0856
_cell_length_c 10.9710
_cell_angle_alpha 90.00
_cell_angle_beta 95.96
_cell_angle_gamma 90.00
_space_group_name_H-M_alt 'P 1'
_space_group_IT_number 1
loop_
_space_group_symop_operation_xyz
'x,y,z'
loop_
_atom_site_label
_atom_site_type_symbol
_atom_site_fract_x
_atom_site_fract_y
_atom_site_fract_z
_atom_site_occupancy
Cs1 Cs 0.0812 0.2500 0.1486 1
Cs2 Cs 0.9188 0.7500 0.8514 1
K1 K 0.2553 0.7500 0.4847 1
K2 K 0.7447 0.2500 0.5153 1
Zr1 Zr 0.4058 0.2500 0.8250 1
Zr2 Zr 0.5942 0.7500 0.1750 1
Se1 Se 0.1475 0.2500 0.6884 1
Se2 Se 0.3257 0.7500 0.9798 1
Se3 Se 0.4550 0.2500 0.2938 1
Se4 Se 0.5450 0.7500 0.7062 1
Se5 Se 0.6743 0.2500 0.0202 1
Se6 Se 0.8525 0.7500 0.3116 1


Entry 5:
# CsKZrSe3 (PBE-GGA, relaxed)
# ΔE to the lowest computed polymorph in meV/atom: 195
# V in Å³ per atom: 37.1
# Space-group type: Cmcm (63)
data_CsKZrSe3
_cell_length_a 9.5254
_cell_length_b 9.5254
_cell_length_c 11.8576
_cell_angle_alpha 90.00
_cell_angle_beta 90.00
_cell_angle_gamma 155.53
_space_group_name_H-M_alt 'P 1'
_space_group_IT_number 1
loop_
_space_group_symop_operation_xyz
'x,y,z'
loop_
_atom_site_label
_atom_site_type_symbol
_atom_site_fract_x
_atom_site_fract_y
_atom_site_fract_z
_atom_site_occupancy
Cs1 Cs 0.1671 0.8329 0.7500 1
Cs2 Cs 0.8329 0.1671 0.2500 1
K1 K 0.1146 0.8854 0.2500 1
K2 K 0.8854 0.1146 0.7500 1
Zr1 Zr 0.5000 0.5000 0.0000 1
Zr2 Zr 0.5000 0.5000 0.5000 1
Se1 Se 0.0980 0.9020 0.0028 1
Se2 Se 0.0980 0.9020 0.4972 1
Se3 Se 0.4865 0.5135 0.2500 1
Se4 Se 0.5135 0.4865 0.7500 1
Se5 Se 0.9020 0.0980 0.5028 1
Se6 Se 0.9020 0.0980 0.9972 1


Entry 6:
# CsKSm (PBE-GGA, relaxed)
# V in Å³ per atom: 70.8
# Raw total energy in eV/atom: -1.158
# Space-group type: F-43m (216)
data_CsKSm
_cell_length_a 9.4692
_cell_length_b 9.4692
_cell_length_c 9.4692
_cell_angle_alpha 90.00
_cell_angle_beta 90.00
_cell_angle_gamma 90.00
_space_group_name_H-M_alt 'P 1'
_space_group_IT_number 1
loop_
_space_group_symop_operation_xyz
'x,y,z'
loop_
_atom_site_label
_atom_site_type_symbol
_atom_site_fract_x
_atom_site_fract_y
_atom_site_fract_z
_atom_site_occupancy
Cs1 Cs 0.0000 0.0000 0.0000 1
Cs2 Cs 0.0000 0.5000 0.5000 1
Cs3 Cs 0.5000 0.0000 0.5000 1
Cs4 Cs 0.5000 0.5000 0.0000 1
K1 K 0.2500 0.2500 0.7500 1
K2 K 0.2500 0.7500 0.2500 1
K3 K 0.7500 0.2500 0.2500 1
K4 K 0.7500 0.7500 0.7500 1
Sm1 Sm 0.2500 0.2500 0.2500 1
Sm2 Sm 0.2500 0.7500 0.7500 1
Sm3 Sm 0.7500 0.2500 0.7500 1
Sm4 Sm 0.7500 0.7500 0.2500 1


Entry 7:
# CsKTa (PBE-GGA, relaxed)
# ΔE to the lowest computed polymorph in meV/atom: 0
# V in Å³ per atom: 54.7
# Space-group type: F-43m (216)
data_CsKTa
_cell_length_a 8.6884
_cell_length_b 8.6884
_cell_length_c 8.6884
_cell_angle_alpha 90.00
_cell_angle_beta 90.00
_cell_angle_gamma 90.00
_space_group_name_H-M_alt 'P 1'
_space_group_IT_number 1
loop_
_space_group_symop_operation_xyz
'x,y,z'
loop_
_atom_site_label
_atom_site_type_symbol
_atom_site_fract_x
_atom_site_fract_y
_atom_site_fract_z
_atom_site_occupancy
Cs1 Cs 0.0000 0.0000 0.0000 1
Cs2 Cs 0.0000 0.5000 0.5000 1
Cs3 Cs 0.5000 0.0000 0.5000 1
Cs4 Cs 0.5000 0.5000 0.0000 1
K1 K 0.2500 0.2500 0.2500 1
K2 K 0.2500 0.7500 0.7500 1
K3 K 0.7500 0.2500 0.7500 1
K4 K 0.7500 0.7500 0.2500 1
Ta1 Ta 0.0000 0.0000 0.5000 1
Ta2 Ta 0.0000 0.5000 0.0000 1
Ta3 Ta 0.5000 0.0000 0.0000 1
Ta4 Ta 0.5000 0.5000 0.5000 1


Entry 8:
# CsKTa (PBE-GGA, relaxed)
# ΔE to the lowest computed polymorph in meV/atom: 76
# V in Å³ per atom: 55.9
# Space-group type: F-43m (216)
data_CsKTa
_cell_length_a 8.7548
_cell_length_b 8.7548
_cell_length_c 8.7548
_cell_angle_alpha 90.00
_cell_angle_beta 90.00
_cell_angle_gamma 90.00
_space_group_name_H-M_alt 'P 1'
_space_group_IT_number 1
loop_
_space_group_symop_operation_xyz
'x,y,z'
loop_
_atom_site_label
_atom_site_type_symbol
_atom_site_fract_x
_atom_site_fract_y
_atom_site_fract_z
_atom_site_occupancy
Cs1 Cs 0.0000 0.0000 0.0000 1
Cs2 Cs 0.0000 0.5000 0.5000 1
Cs3 Cs 0.5000 0.0000 0.5000 1
Cs4 Cs 0.5000 0.5000 0.0000 1
K1 K 0.2500 0.2500 0.7500 1
K2 K 0.2500 0.7500 0.2500 1
K3 K 0.7500 0.2500 0.2500 1
K4 K 0.7500 0.7500 0.7500 1
Ta1 Ta 0.2500 0.2500 0.2500 1
Ta2 Ta 0.2500 0.7500 0.7500 1
Ta3 Ta 0.7500 0.2500 0.7500 1
Ta4 Ta 0.7500 0.7500 0.2500 1


Entry 9:
# Cs2KTaTe4 (PBE-GGA, relaxed)
# V in Å³ per atom: 46.6
# Raw total energy in eV/atom: -4.208
# Space-group type: I-42m (121)
data_Cs2KTaTe4
_cell_length_a 9.3072
_cell_length_b 9.3072
_cell_length_c 8.6165
_cell_angle_alpha 90.00
_cell_angle_beta 90.00
_cell_angle_gamma 90.00
_space_group_name_H-M_alt 'P 1'
_space_group_IT_number 1
loop_
_space_group_symop_operation_xyz
'x,y,z'
loop_
_atom_site_label
_atom_site_type_symbol
_atom_site_fract_x
_atom_site_fract_y
_atom_site_fract_z
_atom_site_occupancy
Cs1 Cs 0.0000 0.5000 0.0000 1
Cs2 Cs 0.0000 0.5000 0.5000 1
Cs3 Cs 0.5000 0.0000 0.0000 1
Cs4 Cs 0.5000 0.0000 0.5000 1
K1 K 0.0000 0.0000 0.0000 1
K2 K 0.5000 0.5000 0.5000 1
Ta1 Ta 0.0000 0.0000 0.5000 1
Ta2 Ta 0.5000 0.5000 0.0000 1
Te1 Te 0.1632 0.1632 0.3219 1
Te2 Te 0.1632 0.8368 0.6781 1
Te3 Te 0.3368 0.3368 0.8219 1
Te4 Te 0.3368 0.6632 0.1781 1
Te5 Te 0.6632 0.3368 0.1781 1
Te6 Te 0.6632 0.6632 0.8219 1
Te7 Te 0.8368 0.1632 0.6781 1
Te8 Te 0.8368 0.8368 0.3219 1


Entry 10:
# CsKTc (PBE-GGA, relaxed)
# V in Å³ per atom: 52.0
# Raw total energy in eV/atom: -2.350
# Space-group type: F-43m (216)
data_CsKTc
_cell_length_a 8.5473
_cell_length_b 8.5473
_cell_length_c 8.5473
_cell_angle_alpha 90.00
_cell_angle_beta 90.00
_cell_angle_gamma 90.00
_space_group_name_H-M_alt 'P 1'
_space_group_IT_number 1
loop_
_space_group_symop_operation_xyz
'x,y,z'
loop_
_atom_site_label
_atom_site_type_symbol
_atom_site_fract_x
_atom_site_fract_y
_atom_site_fract_z
_atom_site_occupancy
Cs1 Cs 0.0000 0.0000 0.0000 1
Cs2 Cs 0.0000 0.5000 0.5000 1
Cs3 Cs 0.5000 0.0000 0.5000 1
Cs4 Cs 0.5000 0.5000 0.0000 1
K1 K 0.2500 0.2500 0.2500 1
K2 K 0.2500 0.7500 0.7500 1
K3 K 0.7500 0.2500 0.7500 1
K4 K 0.7500 0.7500 0.2500 1
Tc1 Tc 0.0000 0.0000 0.5000 1
Tc2 Tc 0.0000 0.5000 0.0000 1
Tc3 Tc 0.5000 0.0000 0.0000 1
Tc4 Tc 0.5000 0.5000 0.5000 1


Entry 11:
# CsKZrTe3 (PBE-GGA, relaxed)
# ΔE to the lowest computed polymorph in meV/atom: 194
# V in Å³ per atom: 44.0
# Space-group type: Cmcm (63)
data_CsKZrTe3
_cell_length_a 9.8679
_cell_length_b 9.8679
_cell_length_c 12.7100
_cell_angle_alpha 90.00
_cell_angle_beta 90.00
_cell_angle_gamma 154.76
_space_group_name_H-M_alt 'P 1'
_space_group_IT_number 1
loop_
_space_group_symop_operation_xyz
'x,y,z'
loop_
_atom_site_label
_atom_site_type_symbol
_atom_site_fract_x
_atom_site_fract_y
_atom_site_fract_z
_atom_site_occupancy
Cs1 Cs 0.1799 0.8201 0.7500 1
Cs2 Cs 0.8201 0.1799 0.2500 1
K1 K 0.1066 0.8934 0.2500 1
K2 K 0.8934 0.1066 0.7500 1
Zr1 Zr 0.5000 0.5000 0.0000 1
Zr2 Zr 0.5000 0.5000 0.5000 1
Te1 Te 0.1035 0.8965 0.0022 1
Te2 Te 0.1035 0.8965 0.4978 1
Te3 Te 0.4769 0.5231 0.2500 1
Te4 Te 0.5231 0.4769 0.7500 1
Te5 Te 0.8965 0.1035 0.5022 1
Te6 Te 0.8965 0.1035 0.9978 1


Entry 12:
# CsKZrTe3 (PBE-GGA, relaxed)
# ΔE to the lowest computed polymorph in meV/atom: 0
# V in Å³ per atom: 38.7
# Space-group type: P2_1/m (11)
data_CsKZrTe3
_cell_length_a 9.1548
_cell_length_b 4.3651
_cell_length_c 11.6889
_cell_angle_alpha 90.00
_cell_angle_beta 96.38
_cell_angle_gamma 90.00
_space_group_name_H-M_alt 'P 1'
_space_group_IT_number 1
loop_
_space_group_symop_operation_xyz
'x,y,z'
loop_
_atom_site_label
_atom_site_type_symbol
_atom_site_fract_x
_atom_site_fract_y
_atom_site_fract_z
_atom_site_occupancy
Cs1 Cs 0.0804 0.2500 0.1444 1
Cs2 Cs 0.9196 0.7500 0.8556 1
K1 K 0.2532 0.7500 0.4821 1
K2 K 0.7468 0.2500 0.5179 1
Zr1 Zr 0.4045 0.2500 0.8231 1
Zr2 Zr 0.5955 0.7500 0.1769 1
Te1 Te 0.1378 0.2500 0.6857 1
Te2 Te 0.3269 0.7500 0.9821 1
Te3 Te 0.4536 0.2500 0.2965 1
Te4 Te 0.5464 0.7500 0.7035 1
Te5 Te 0.6731 0.2500 0.0179 1
Te6 Te 0.8622 0.7500 0.3143 1


Q: Look up the V of the third one.
A: 41.2 Å³ per atom